(1)
LaNb2CoF: optimized geometry, PBEsol.

Calculated values
Its calculated density is 6.44 g cm⁻³. The calculation puts the total magnetization at 0.000 μB/cell. As for the uncorrected formation energy: 832 kJ/mol of formula units. The total energy is -28.036 eV for the cell shown.

Cell and atoms, written as POSCAR:
```
LaNb2CoF
1.0
4.278 0.000 0.000
0.000 4.928 0.000
0.000 0.000 4.928
Nb F Co La
2 1 1 1
Direct
0.000 0.000 0.500 Nb
0.000 0.500 0.000 Nb
0.500 0.500 0.500 F
0.500 0.000 0.000 Co
0.000 0.000 0.000 La
```

(2)
LaCoTe2F: optimized geometry, PBEsol.

Calculated values
Its calculated density is 7.17 g cm⁻³. The calculation puts the total magnetization at 1.430 μB/cell. As for the uncorrected formation energy: -539 kJ/mol of formula units. The total energy is -27.646 eV for the cell shown.

Cell and atoms, written as POSCAR:
```
LaCoTe2F
1.0
-3.043 2.625 -0.424
0.505 -0.250 -5.172
-3.386 -3.948 -0.140
F Te Co La
1 2 1 1
Direct
0.500 0.000 0.000 F
0.000 0.000 0.500 Te
0.000 0.500 0.000 Te
0.000 0.000 0.000 Co
0.500 0.500 0.500 La
```

(3)
LaZn2CoF: optimized geometry, PBEsol.

Calculated values
Its calculated density is 4.01 g cm⁻³. The calculation puts the total magnetization at 1.886 μB/cell. As for the uncorrected formation energy: 150 kJ/mol of formula units. The total energy is -16.618 eV for the cell shown.

Cell and atoms, written as POSCAR:
```
LaZn2CoF
1.0
4.368 0.000 0.000
0.000 5.740 0.000
0.000 0.000 5.740
Zn F Co La
2 1 1 1
Direct
0.000 0.000 0.500 Zn
0.000 0.500 0.000 Zn
0.500 0.000 0.000 F
0.500 0.500 0.500 Co
0.000 0.000 0.000 La
```